{
  "formula": "KBeAu2",
  "functional": "PBE-GGA",
  "state": "optimized geometry",
  "lattice": [[3.034, 0.000, 0.000], [0.000, 3.035, 0.002], [0.000, 3.021, 8.322]],
  "species": ["K", "Au", "Au", "Be"],
  "frac_coords": [[0.500, 0.750, 0.750], [0.000, 0.921, 0.078], [0.000, 0.579, 0.422], [0.500, 0.250, 0.250]],
  "rho_kg_m3": 9581,
  "ef_ev_per_fu": -0.12
}